No. 1
A geometry-optimized La4Pr3Al structure, computed with PBE-GGA.

Cell: 14.2322 14.2322 5.6898 Å, 101.52 101.52 14.34°
Positions (direct):
La: 0.0943 0.0943 0.0957
La: 0.2841 0.2841 0.7838
La: 0.7159 0.7159 0.2162
La: 0.9057 0.9057 0.9043
Pr: 0.0000 0.0000 0.5000
Pr: 0.1550 0.1550 0.6563
Pr: 0.8450 0.8450 0.3437
Al: 0.5000 0.5000 0.0000


No. 2
A geometry-optimized La4PrAl structure, computed with PBE-GGA.

Calculated values
Energy above the most stable polymorph in this dataset (eV per atom): 0.000

Cell: 3.7622 3.7622 14.2008 Å, 90.00 90.00 90.00°
Positions (direct):
La: 0.0000 0.0000 0.1330
La: 0.0000 0.0000 0.8670
La: 0.5000 0.5000 0.3168
La: 0.5000 0.5000 0.6832
Pr: 0.0000 0.0000 0.5000
Al: 0.5000 0.5000 0.0000


Here are the calculated energy of formation from the pure elements numbers, same order: 6 -10 (kJ/mol of atoms).